Compound: HfPWO2
Source: Alexandria
Functional: PBE with a Hubbard U
Structure: optimized geometry

Lattice parameters (Å, degrees): 3.9549 3.9549 5.5873 90.00 90.00 90.00
Fractional positions:
Hf  0.0000  0.0000  0.0000
P  0.0000  0.0000  0.5000
W  0.5000  0.5000  0.5000
O  0.0000  0.5000  0.0000
O  0.5000  0.0000  0.0000

Results
Relative energy among the computed polymorphs in eV per atom: 0.000
ρ in g/cm³: 8.1
Crystal system: tetragonal